## DyTh2Si3Pt12 (PBE)

Data for a relaxed structure of DyTh2Si3Pt12.

Calculated values
raw formation energy: -0.618 eV per atom
Fermi-level density of states: 0.4352 states/eV/atom
E: -6.6288 eV per atom

Cell: 7.7582 7.7582 7.7582 Å, 64.72 64.72 64.72°
Last column: nearest neighbours and their distance in Å.
Positions (direct):
1 Dy 0.0000 0.0000 0.0000  6 Pt 2.72
2 Th 0.3983 0.3983 0.3983  6 Pt 2.84-2.90
3 Th 0.6017 0.6017 0.6017  6 Pt 2.84-2.90
4 Si 0.0000 0.0000 0.5000  6 Pt 2.37-2.40
5 Si 0.0000 0.5000 0.0000  6 Pt 2.37-2.40
6 Si 0.5000 0.0000 0.0000  6 Pt 2.37-2.40
7 Pt 0.1028 0.6488 0.6488  2 Si 2.37
8 Pt 0.1473 0.1473 0.5966  1 Si 2.40
9 Pt 0.1473 0.5966 0.1473  1 Si 2.40
10 Pt 0.3512 0.3512 0.8972  2 Si 2.37
11 Pt 0.3512 0.8972 0.3512  2 Si 2.37
12 Pt 0.4034 0.8527 0.8527  1 Si 2.40
13 Pt 0.5966 0.1473 0.1473  1 Si 2.40
14 Pt 0.6488 0.1028 0.6488  2 Si 2.37
15 Pt 0.6488 0.6488 0.1028  2 Si 2.37
16 Pt 0.8527 0.4034 0.8527  1 Si 2.40
17 Pt 0.8527 0.8527 0.4034  1 Si 2.40
18 Pt 0.8972 0.3512 0.3512  2 Si 2.37

## Dy2Tc3Ni (PBE)

Data for a relaxed structure of Dy2Tc3Ni.

Calculated values
Fermi-level density of states: 1.1073 states/eV/atom
E: -7.9162 eV per atom

Cell: 5.4783 5.4783 5.4783 Å, 56.68 56.68 56.68°
Last column: nearest neighbours and their distance in Å.
Positions (direct):
1 Dy 0.1240 0.1240 0.1240  3 Ni 3.06, 9 Tc 3.11-3.25, 4 Dy 3.22-3.41
2 Dy 0.8760 0.8760 0.8760  3 Ni 3.06, 9 Tc 3.11-3.25, 4 Dy 3.22-3.41
3 Tc 0.0000 0.5000 0.5000  4 Tc 2.60, 2 Ni 2.74
4 Tc 0.5000 0.0000 0.5000  4 Tc 2.60, 2 Ni 2.74
5 Tc 0.5000 0.5000 0.0000  4 Tc 2.60, 2 Ni 2.74
6 Ni 0.5000 0.5000 0.5000  6 Tc 2.74, 6 Dy 3.06